[1]
# NaCeAu3

NaCeAu3 after structural relaxation (PBE, the Alexandria database).

```
NaCeAu3
1.0
4.750 0.000 0.000
0.000 6.354 0.000
0.000 0.000 8.384
Na Ce Au
2 2 6
Direct
0.250 0.250 0.031
0.750 0.750 0.969
0.250 0.750 0.389
0.750 0.250 0.611
0.250 0.250 0.380
0.250 0.517 0.731
0.250 0.983 0.731
0.750 0.017 0.269
0.750 0.483 0.269
0.750 0.750 0.620
```

## Properties
As for the space group: Pmmn. Its energy relative to the lowest polymorph listed for this composition is 13.8 meV per atom.

[2]
# NaCeAu4

NaCeAu4 after structural relaxation (PBE, the Alexandria database).

```
NaCeAu4
1.0
0.000 4.006 4.006
4.006 0.000 4.006
4.006 4.006 0.000
Na Ce Au
1 1 4
Direct
0.000 0.000 0.000
0.750 0.750 0.750
0.374 0.374 0.374
0.374 0.374 0.877
0.374 0.877 0.374
0.877 0.374 0.374
```

## Properties
As for the space group: F-43m. Its energy relative to the lowest polymorph listed for this composition is 0.0 meV per atom.

[3]
# NaCeAu3

NaCeAu3 after structural relaxation (PBE, the Alexandria database).

```
NaCeAu3
1.0
1.736 -13.844 0.000
1.736 13.844 0.000
0.000 0.000 4.839
Na Ce Au
2 2 6
Direct
0.213 0.787 0.750
0.787 0.213 0.250
0.075 0.925 0.250
0.925 0.075 0.750
0.325 0.675 0.750
0.377 0.623 0.250
0.476 0.524 0.250
0.524 0.476 0.750
0.623 0.377 0.750
0.675 0.325 0.250
```

## Properties
As for the space group: Cmcm. Its energy relative to the lowest polymorph listed for this composition is 0.0 meV per atom.

[4]
# NaCe2PbAu4

NaCe2PbAu4 after structural relaxation (PBE, the Alexandria database).

```
NaCe2PbAu4
1.0
2.541 1.467 8.455
-2.541 1.467 8.455
0.000 -2.935 8.455
Na Ce Pb Au
1 2 1 4
Direct
0.000 0.000 0.000
0.245 0.245 0.245
0.755 0.755 0.755
0.500 0.500 0.500
0.119 0.119 0.119
0.368 0.368 0.368
0.632 0.632 0.632
0.881 0.881 0.881
```

## Properties
As for the space group: R-3m. The value obtained for the energy is -4.295 eV per atom.

[5]
# NaCePbAu

NaCePbAu after structural relaxation (PBE, the Alexandria database).

```
NaCePbAu
1.0
7.458 0.000 0.000
0.000 7.458 0.000
0.000 0.000 7.458
Na Ce Pb Au
4 4 4 4
Direct
0.000 0.000 0.000
0.000 0.500 0.500
0.500 0.000 0.500
0.500 0.500 0.000
0.000 0.000 0.500
0.000 0.500 0.000
0.500 0.000 0.000
0.500 0.500 0.500
0.250 0.250 0.250
0.250 0.750 0.750
0.750 0.250 0.750
0.750 0.750 0.250
0.250 0.250 0.750
0.250 0.750 0.250
0.750 0.250 0.250
0.750 0.750 0.750
```

## Properties
As for the space group: F-43m. The value obtained for the energy is -3.937 eV per atom.

[6]
# NaCePdAu

NaCePdAu after structural relaxation (PBE, the Alexandria database).

```
NaCePdAu
1.0
7.095 0.000 0.000
0.000 7.095 0.000
0.000 0.000 7.095
Na Ce Pd Au
4 4 4 4
Direct
0.000 0.000 0.000
0.000 0.500 0.500
0.500 0.000 0.500
0.500 0.500 0.000
0.000 0.000 0.500
0.000 0.500 0.000
0.500 0.000 0.000
0.500 0.500 0.500
0.250 0.250 0.750
0.250 0.750 0.250
0.750 0.250 0.250
0.750 0.750 0.750
0.250 0.250 0.250
0.250 0.750 0.750
0.750 0.250 0.750
0.750 0.750 0.250
```

## Properties
As for the space group: F-43m. The value obtained for the energy is -4.363 eV per atom.

[7]
# NaCe2PuAu4

NaCe2PuAu4 after structural relaxation (PBE, the Alexandria database).

```
NaCe2PuAu4
1.0
2.583 1.491 8.394
-2.583 1.491 8.394
0.000 -2.983 8.394
Na Ce Pu Au
1 2 1 4
Direct
0.000 0.000 0.000
0.252 0.252 0.252
0.748 0.748 0.748
0.500 0.500 0.500
0.127 0.127 0.127
0.377 0.377 0.377
0.623 0.623 0.623
0.873 0.873 0.873
```

## Properties
As for the space group: R-3m. The value obtained for the energy is -5.587 eV per atom.

[8]
# NaCePu2Au4

NaCePu2Au4 after structural relaxation (PBE, the Alexandria database).

```
NaCePu2Au4
1.0
2.580 1.489 8.388
-2.580 1.489 8.388
0.000 -2.979 8.388
Na Ce Pu Au
1 1 2 4
Direct
0.000 0.000 0.000
0.500 0.500 0.500
0.253 0.253 0.253
0.747 0.747 0.747
0.127 0.127 0.127
0.378 0.378 0.378
0.622 0.622 0.622
0.873 0.873 0.873
```

## Properties
As for the space group: R-3m. The value obtained for the energy is -6.537 eV per atom.